A plane-wave DFT calculation with GGA-PBE was carried out for crystalline Ti5Sn4Au at its relaxed geometry.

POSCAR file:
```
Ti5Sn4Au
1.0
-4.396 4.396 2.775
4.396 -4.396 2.775
4.396 4.396 -2.775
Ti Sn Au
5 4 1
Direct
0.000 0.000 0.000
0.194 0.592 0.812
0.382 0.194 0.602
0.592 0.780 0.398
0.780 0.382 0.188
0.082 0.291 0.400
0.291 0.891 0.209
0.682 0.082 0.791
0.891 0.682 0.600
0.500 0.500 0.000
```



A plane-wave DFT calculation with GGA-PBE was carried out for crystalline Ti3SnAu at its relaxed geometry.

Values from the calculation:
The excess energy over the best structure of this formula in the dataset comes out at 0.000 eV per atom.

POSCAR file:
```
Ti3SnAu
1.0
5.066 -2.417 0.000
5.066 2.417 0.000
-0.040 0.000 7.890
Ti Sn Au
6 2 2
Direct
0.040 0.040 0.307
0.131 0.131 0.966
0.321 0.321 0.252
0.679 0.679 0.748
0.869 0.869 0.034
0.960 0.960 0.693
0.399 0.399 0.852
0.601 0.601 0.148
0.208 0.208 0.582
0.792 0.792 0.418
```



A plane-wave DFT calculation with GGA-PBE was carried out for crystalline Ti4Sn2Au3 at its relaxed geometry.

POSCAR file:
```
Ti4Sn2Au3
1.0
4.589 -2.006 0.000
4.589 2.006 0.000
-2.786 0.000 8.825
Ti Sn Au
4 2 3
Direct
0.007 0.007 0.333
0.337 0.337 0.109
0.663 0.663 0.891
0.993 0.993 0.667
0.331 0.331 0.784
0.669 0.669 0.216
0.000 0.000 0.000
0.338 0.338 0.434
0.662 0.662 0.566
```



A plane-wave DFT calculation with GGA-PBE was carried out for crystalline TiSnAu2 at its relaxed geometry.

POSCAR file:
```
TiSnAu2
1.0
7.582 0.000 0.000
0.000 7.582 0.000
0.000 0.000 5.743
Ti Sn Au
4 4 8
Direct
0.000 0.000 0.000
0.000 0.500 0.250
0.500 0.000 0.750
0.500 0.500 0.500
0.000 0.000 0.500
0.000 0.500 0.750
0.500 0.000 0.250
0.500 0.500 0.000
0.237 0.250 0.125
0.250 0.737 0.375
0.250 0.763 0.875
0.263 0.250 0.625
0.737 0.750 0.625
0.750 0.237 0.875
0.750 0.263 0.375
0.763 0.750 0.125
```



no.,energy of formation (eV/atom),raw total energy (eV/atom)
1,-0.016,-5.892
2,-0.135,-6.328
3,-0.341,-5.832
4,-0.060,-4.673